VASP calculation (PBEsol) on a relaxed structure of CaIn2Te.

Output
The calculation puts the energy relative to the elements, uncorrected at -98.3 kJ/mol of formula units.

Cell lengths 3.9946, 3.9946, 25.9193 Å; angles 90.00, 90.00, 120.00 degrees
Space group R-3m (No. 166, hexagonal axes)
Symmetry-distinct sites (fractional):
Ca: 0.0000 0.0000 0.0000 [3 per cell]
In: 0.0000 0.0000 0.2423 [6 per cell]
Te: 0.0000 0.0000 0.5000 [3 per cell]


VASP calculation (PBEsol) on a relaxed structure of TcHOs2Rh.

Output
The value obtained for the calculated total energy is -0.342 Ha/atom.

Cell lengths 3.875, 3.875, 3.822 Å; angles 90.00, 90.00, 90.00 degrees
Space group P4/mmm (No. 123)
Symmetry-distinct sites (fractional):
Tc: 0.000 0.000 0.000 [1 per cell]
H: 0.500 0.500 0.500 [1 per cell]
Os: 0.000 0.500 0.500 [2 per cell]
Rh: 0.500 0.500 0.000 [1 per cell]


VASP calculation (PBEsol) on a relaxed structure of TlGaOs3.

Output
The value obtained for the calculated formation energy is 16.48 eV/f.u.

Cell lengths 4.864, 4.864, 4.864 Å; angles 90.00, 90.00, 90.00 degrees
Space group Pm-3m (No. 221)
Symmetry-distinct sites (fractional):
Tl: 0.000 0.000 0.000 [1 per cell]
Ga: 0.500 0.500 0.500 [1 per cell]
Os: 0.000 0.000 0.500 [3 per cell]


VASP calculation (PBEsol) on a relaxed structure of K2NiPt.

Output
The value obtained for the calculated formation energy is 2.58 eV/f.u.

Cell lengths 4.002, 4.002, 9.973 Å; angles 90.00, 90.00, 90.00 degrees
Space group I4/mmm (No. 139)
Symmetry-distinct sites (fractional):
K: 0.000 0.500 0.250 [4 per cell]
Ni: 0.000 0.000 0.000 [2 per cell]
Pt: 0.000 0.000 0.500 [2 per cell]


VASP calculation (PBEsol) on a relaxed structure of CeScPd6.

Output
The value obtained for the calculated formation energy is -6.84 eV/f.u.

Cell lengths 4.015, 4.015, 7.975 Å; angles 90.00, 90.00, 90.00 degrees
Space group P4/mmm (No. 123)
Symmetry-distinct sites (fractional):
Ce: 0.000 0.000 0.000 [1 per cell]
Sc: 0.000 0.000 0.500 [1 per cell]
Pd: 0.000 0.500 0.256 [4 per cell]
Pd: 0.500 0.500 0.000 [1 per cell]
Pd: 0.500 0.500 0.500 [1 per cell]


VASP calculation (PBEsol) on a relaxed structure of ScW2Se.

Output
The calculation puts the energy relative to the elements, uncorrected at 35.0 kJ/mol of formula units.

Cell lengths 3.329, 4.905, 8.341 Å; angles 90.00, 90.00, 90.00 degrees
Space group Cmm2 (No. 35)
Symmetry-distinct sites (fractional):
Sc: 0.000 0.000 0.000 [2 per cell]
W: 0.000 0.000 0.509 [2 per cell]
W: 0.000 0.500 0.271 [2 per cell]
Se: 0.000 0.500 0.761 [2 per cell]


Listing volume for the structures above in their given order: 29.85, 11.48, 23.01, 19.96, 16.07, 17.03 Å³/atom.